P.
VASP calculation (PBE) on crystalline Pm2ThRh2 at its relaxed geometry.

## Properties
**Calculated volume**: 26.0 Å³/atom
**Crystal system**: monoclinic
**Total moment**: 0.0 μB per cell

Lattice parameters (Å, degrees): 11.4781 6.2211 7.4488 90.00 101.63 90.00
Space group C2/c (No. 15)
Asymmetric unit:
Pm (0.1569, 0.1089, 0.1524) (multiplicity 8)
Th (0.0000, 0.4085, 0.7500) (multiplicity 4)
Rh (0.1485, 0.3554, 0.5115) (multiplicity 8)


Q.
VASP calculation (PBE) on crystalline Pm2ThRh2 at its relaxed geometry.

## Properties
**Calculated volume**: 26.1 Å³/atom
**Crystal system**: monoclinic
**Total moment**: 0.0 μB per cell

Lattice parameters (Å, degrees): 10.3729 6.9637 7.2580 90.00 94.05 90.00
Space group P2_1/c (No. 14)
Asymmetric unit:
Pm (0.0193, 0.2441, 0.4184) (multiplicity 4)
Pm (0.2896, 0.6737, 0.8713) (multiplicity 4)
Th (0.3664, 0.1854, 0.9967) (multiplicity 4)
Rh (0.1848, 0.0405, 0.6930) (multiplicity 4)
Rh (0.4761, 0.5494, 0.2043) (multiplicity 4)


Referenced to the most stable arrangement, the calculated values in meV per atom are P 0; Q 32.


P.
VASP calculation (PBE) on crystalline PmTiRh2 at its relaxed geometry.

## Properties
**Calculated volume**: 18.1 Å³/atom
**Crystal system**: tetragonal
**Total moment**: 0.0 μB per cell

Lattice parameters (Å, degrees): 3.1727 3.1727 7.1766 90.00 90.00 90.00
Space group P4/mmm (No. 123)
Asymmetric unit:
Pm (0.0000, 0.0000, 0.0000) (multiplicity 1)
Ti (0.0000, 0.0000, 0.5000) (multiplicity 1)
Rh (0.5000, 0.5000, 0.2977) (multiplicity 2)


Q.
VASP calculation (PBE) on crystalline PmTiRh2 at its relaxed geometry.

## Properties
**Calculated volume**: 19.8 Å³/atom
**Crystal system**: trigonal
**Total moment**: 0.0 μB per cell

Lattice parameters (Å, degrees): 4.2518 4.2518 15.1709 90.00 90.00 120.00
Space group R-3m (No. 166, hexagonal axes)
Asymmetric unit:
Pm (0.0000, 0.0000, 0.0000) (multiplicity 3)
Ti (0.0000, 0.0000, 0.5000) (multiplicity 3)
Rh (0.0000, 0.0000, 0.2166) (multiplicity 6)


R.
VASP calculation (PBE) on crystalline PmTiRh2 at its relaxed geometry.

## Properties
**Calculated volume**: 18.3 Å³/atom
**Crystal system**: cubic
**Total moment**: 0.0 μB per cell

Lattice parameters (Å, degrees): 6.6352 6.6352 6.6352 90.00 90.00 90.00
Space group Fm-3m (No. 225)
Asymmetric unit:
Pm (0.0000, 0.0000, 0.0000) (multiplicity 4)
Ti (0.0000, 0.0000, 0.5000) (multiplicity 4)
Rh (0.2500, 0.2500, 0.2500) (multiplicity 8)


Referenced to the most stable arrangement, the calculated values in meV per atom are P 0; Q 56; R 140.


P.
VASP calculation (PBE) on crystalline PmTlRh at its relaxed geometry.

## Properties
**Calculated volume**: 23.7 Å³/atom
**Crystal system**: orthorhombic
**Total moment**: 0.0 μB per cell

Lattice parameters (Å, degrees): 4.3825 4.3877 7.3992 90.00 90.00 90.00
Space group Pmmn (No. 59, origin choice 2)
Asymmetric unit:
Pm (0.2500, 0.2500, 0.1433) (multiplicity 2)
Tl (0.2500, 0.7500, 0.4982) (multiplicity 2)
Rh (0.2500, 0.2500, 0.7691) (multiplicity 2)


Q.
VASP calculation (PBE) on crystalline PmTlRh at its relaxed geometry.

## Properties
**Calculated volume**: 23.3 Å³/atom
**Crystal system**: hexagonal
**Total moment**: 0.0 μB per cell

Lattice parameters (Å, degrees): 4.7824 4.7824 3.5356 90.00 90.00 120.00
Space group P-6m2 (No. 187)
Asymmetric unit:
Pm (0.0000, 0.0000, 0.0000) (multiplicity 1)
Tl (0.6667, 0.3333, 0.5000) (multiplicity 1)
Rh (0.3333, 0.6667, 0.5000) (multiplicity 1)


Referenced to the most stable arrangement, the calculated values in meV per atom are P 0; Q 21.


P.
VASP calculation (PBE) on crystalline Pm4Tl2Rh at its relaxed geometry.

## Properties
**Calculated volume**: 31.3 Å³/atom
**Crystal system**: monoclinic
**Total moment**: 0.0 μB per cell

Lattice parameters (Å, degrees): 6.6997 3.7670 9.2855 90.00 110.87 90.00
Space group P2/m (No. 10)
Asymmetric unit:
Pm (0.1210, 0.0000, 0.2543) (multiplicity 2)
Pm (0.3325, 0.5000, 0.6540) (multiplicity 2)
Tl (0.2645, 0.5000, 0.0016) (multiplicity 2)
Rh (0.5000, 0.0000, 0.5000) (multiplicity 1)


Q.
VASP calculation (PBE) on crystalline Pm4Tl2Rh at its relaxed geometry.

## Properties
**Calculated volume**: 29.3 Å³/atom
**Crystal system**: monoclinic
**Total moment**: 0.0 μB per cell

Lattice parameters (Å, degrees): 11.5246 4.8167 8.9496 90.00 124.23 90.00
Space group C2/m (No. 12)
Asymmetric unit:
Pm (0.0728, 0.0000, 0.3565) (multiplicity 4)
Pm (0.1690, 0.5000, 0.0566) (multiplicity 4)
Tl (0.1556, 0.5000, 0.6717) (multiplicity 4)
Rh (0.0000, 0.0000, 0.0000) (multiplicity 2)


Referenced to the most stable arrangement, the calculated values in meV per atom are P 119; Q 0.